# 1
Here is a relaxed structure of CaLaHf2 from Alexandria. Energies are from GGA-PBE.

## Properties
Offset from the most stable computed form = 0 meV/atom
SG = Fm-3m, No. 225
E_form = 0.602 eV/atom

```
CaLaHf2
1.0
0.0000 3.8227 3.8227
3.8227 0.0000 3.8227
3.8227 3.8227 0.0000
Ca La Hf
1 1 2
Direct
0.0000 0.0000 0.0000 Ca
0.5000 0.5000 0.5000 La
0.2500 0.2500 0.2500 Hf
0.7500 0.7500 0.7500 Hf
```

***

# 2
Here is a relaxed structure of Hg3P from Alexandria. Energies are from GGA-PBE.

## Properties
Offset from the most stable computed form = 171 meV/atom
SG = Pmm2, No. 25
E_form = 0.249 eV/atom

```
Hg3P
1.0
4.5527 0.0000 0.0000
0.0000 5.4311 0.0000
0.0000 0.0000 4.7263
Hg P
3 1
Direct
0.0000 0.0000 0.0000 Hg
0.0000 0.5000 0.3200 Hg
0.5000 0.0000 0.5407 Hg
0.5000 0.5000 0.5299 P
```

***

# 3
Here is a relaxed structure of TaSiNi from Alexandria. Energies are from GGA-PBE.

## Properties
ΔE_f (raw) = -0.332 eV per atom
SG = F-43m, No. 216

```
TaSiNi
1.0
0.0000 2.8343 2.8343
2.8343 0.0000 2.8343
2.8343 2.8343 0.0000
Ta Si Ni
1 1 1
Direct
0.0000 0.0000 0.0000 Ta
0.5000 0.5000 0.5000 Si
0.2500 0.2500 0.2500 Ni
```

***

# 4
Here is a relaxed structure of TaBeO2F from Alexandria. Energies are from GGA-PBE.

## Properties
ΔE_f (raw) = -1.645 eV per atom
SG = P4/mmm, No. 123

```
TaBeO2F
1.0
3.8138 0.0000 0.0000
0.0000 3.8138 0.0000
0.0000 0.0000 2.9932
Ta Be O F
1 1 2 1
Direct
0.0000 0.0000 0.0000 Ta
0.5000 0.5000 0.5000 Be
0.0000 0.5000 0.5000 O
0.5000 0.0000 0.5000 O
0.5000 0.5000 0.0000 F
```

***

| no. | D(E_F) (states/eV/cell) |
| --- | --- |
| 1 | 6.432 |
| 2 | 0.836 |
| 3 | 1.815 |
| 4 | 2.276 |